# 1
Computed, not measured: Rb2Zn3CdF12 after structural relaxation at the PBE-GGA level of DFT.

Computed properties:
space-group type: No. 166
formation energy (no corrections): -2.1838 eV/atom

Structure (POSCAR):
```
Rb2Zn3CdF12
1.0
7.4544 -0.0031 -0.0022
3.6787 6.4835 -0.0022
3.6787 2.1413 6.1197
Zn F Cd Rb
3 12 1 2
Cartesian
3.7272 -0.0016 -0.0011
1.8393 1.0706 3.0598
1.8393 3.2417 -0.0011
11.4233 6.6493 2.2054
9.3627 7.8196 5.5463
9.0815 2.6483 1.8784
11.4233 4.2796 5.5463
3.3885 4.3421 0.5689
5.4491 0.8021 0.5689
8.0240 4.6706 0.5178
6.7878 3.9511 5.5975
3.3885 1.9724 3.9099
6.7878 6.5889 1.8784
5.7302 5.9734 4.2368
8.0240 2.0327 4.2368
0.0000 0.0000 0.0000
5.6389 3.2823 2.3281
9.1729 5.3394 3.7872
```

---

# 2
Computed, not measured: RbZnCd2F8 after structural relaxation at the PBE-GGA level of DFT.

Computed properties:
space-group type: No. 2
formation energy (no corrections): -2.0947 eV/atom

Structure (POSCAR):
```
RbZnCd2F8
1.0
-0.6597 -3.8051 3.4179
-2.7705 -2.7094 -3.3022
6.1268 -3.2876 -2.4646
F Rb Cd Zn
8 1 2 1
Cartesian
3.6461 -7.8690 -2.5467
3.7931 -6.4505 0.1198
-1.0965 -3.3516 -2.4688
-0.9495 -1.9331 0.1977
2.0251 -4.0774 -0.5893
0.6715 -5.7247 -1.7597
-0.0070 -4.4002 1.6504
2.7036 -5.4019 -3.9993
3.0634 -1.6438 -1.2323
2.9928 -5.7834 -1.8357
-0.2962 -4.0188 -0.5132
0.0000 0.0000 0.0000
```

---

# 3
Computed, not measured: RbZrCdF7 after structural relaxation at the PBE-GGA level of DFT.

Computed properties:
space-group type: No. 63
formation energy (no corrections): -3.1338 eV/atom

Structure (POSCAR):
```
RbZrCdF7
1.0
6.6387 -0.0037 0.0000
-3.0148 5.9147 0.0000
0.0000 0.0000 8.6616
F Cd Zr Rb
14 2 2 2
Cartesian
2.4393 0.9037 6.4962
2.6392 1.0111 2.1654
6.5399 0.0569 2.1654
0.9847 4.8999 6.4962
-2.9160 5.8541 6.4962
-0.2962 2.8107 6.4962
-1.0635 4.7183 4.4496
1.1846 5.0072 2.1654
-1.0635 4.7183 8.5427
3.9250 3.3271 6.4962
3.9200 3.1003 2.1654
-0.3011 2.5839 2.1654
4.6874 1.1926 0.1189
4.6874 1.1926 4.2119
4.7911 1.1290 6.4962
-1.1672 4.7820 2.1654
4.7764 1.1380 2.1654
-1.1525 4.7729 6.4962
1.8119 2.9555 4.3308
1.8119 2.9555 0.0000
```

---

# 4
Computed, not measured: RbZrCdF2 after structural relaxation at the PBE-GGA level of DFT.

Computed properties:
space-group type: No. 123
formation energy (no corrections): -0.4298 eV/atom

Structure (POSCAR):
```
RbZrCdF2
1.0
-3.3883 -3.2952 1.0393
1.6128 0.1538 5.7459
-3.1983 3.5419 0.8029
F Cd Zr Rb
2 1 1 1
Cartesian
-1.5992 1.7709 0.4015
-1.6941 -1.6476 0.5197
0.8064 0.0769 2.8729
-2.4869 0.2003 3.7941
0.0000 0.0000 0.0000
```